# OsWF3

An optimized crystal structure of OsWF3 (PBE with a Hubbard U, the Alexandria database).

Space-group type   Pm-3m (221)
E above lowest polymorph   0.000 eV/f.u.
DFT total energy   -4.604 eV/atom
Theoretical density   9.36 g/cm3

Cell lengths 4.2446, 4.2446, 4.2446 Å; angles 90.00, 90.00, 90.00 degrees
Closest atoms and distances in Å follow each position.
Fractional coordinates of all 5 atoms:
W 0.5000 0.5000 0.5000  12 F 3.00
Os 0.0000 0.0000 0.0000  6 F 2.12
F 0.5000 0.0000 0.0000  2 Os 2.12
F 0.0000 0.0000 0.5000  2 Os 2.12
F 0.0000 0.5000 0.0000  2 Os 2.12